1.
Computed, not measured: crystalline Li2NiAu at its relaxed geometry at the GGA-PBEsol level of DFT.

Cell lengths 4.189, 4.197, 4.189 Å; angles 60.07, 90.00, 119.93 degrees
Positions (direct):
Ni  0.500  0.000  0.500
Au  0.750  0.500  0.750
Li  0.000  0.000  0.000
Li  0.250  0.500  0.250

Calculated values
Energy of formation = -0.228 eV per atom
Space-group type = I-4m2, No. 119

=====

2.
Computed, not measured: crystalline LaSbNO2 at its relaxed geometry at the GGA-PBEsol level of DFT.

Cell lengths 4.127, 4.127, 4.196 Å; angles 90.00, 90.00, 90.00 degrees
Positions (direct):
Sb  0.000  0.000  0.000
N  0.000  0.000  0.500
O  0.000  0.500  0.000
O  0.500  0.000  0.000
La  0.500  0.500  0.500

Calculated values
Space-group type = P4/mmm, No. 123

=====

no.,calculated density (Mg/m³),calculated total energy (eV/f.u.)
1,8.577,-14.9
2,7.125,-36.1